(1)
TaAl4Te | PBE-GGA | optimized geometry

Total moment in μB/atom: 0.000
Raw formation energy in eV per atom: 0.077

abc: 5.305 5.305 5.305
angles: 60.00 60.00 60.00
Fractional positions:
Al1 0.872 0.376 0.376
Al2 0.376 0.872 0.376
Al3 0.376 0.376 0.872
Al4 0.376 0.376 0.376
Te1 0.000 0.000 0.000
Ta1 0.750 0.750 0.750



(2)
CdFe2N2 | PBE-GGA | optimized geometry

Total moment in μB/atom: 0.077
Excess energy over the best structure of this formula in the dataset in eV/atom: 0.8428
Raw formation energy in eV per atom: 0.962

abc: 6.758 6.758 2.578
angles: 90.00 90.00 90.00
Site moments in Bohr magnetons follow the coordinates.
Fractional positions:
N1 0.112 0.612 0.500  -0.03
N2 0.612 0.888 0.500  -0.03
N3 0.388 0.112 0.500  -0.03
N4 0.888 0.388 0.500  -0.03
Fe1 0.385 0.885 0.000  0.24
Fe2 0.885 0.615 0.000  0.23
Fe3 0.115 0.385 0.000  0.23
Fe4 0.615 0.115 0.000  0.24
Cd1 0.000 0.000 0.000  -0.01
Cd2 0.500 0.500 0.000  -0.01



(3)
ErThMgPb | PBE-GGA | optimized geometry

Total moment in μB/atom: 0.000
Energy of formation from the pure elements in eV per atom: -0.117

abc: 5.436 5.436 5.436
angles: 60.00 60.00 60.00
Fractional positions:
Er1 0.750 0.750 0.750
Th1 0.250 0.250 0.250
Pb1 0.500 0.500 0.500
Mg1 0.000 0.000 0.000



(4)
Ag4HgBr | PBE-GGA | optimized geometry

Total moment in μB/atom: 0.000
Raw formation energy in eV per atom: 0.134

abc: 5.703 5.703 5.703
angles: 60.00 60.00 60.00
Fractional positions:
Hg1 0.000 0.000 0.000
Br1 0.750 0.750 0.750
Ag1 0.876 0.375 0.375
Ag2 0.375 0.375 0.876
Ag3 0.375 0.876 0.375
Ag4 0.375 0.375 0.375



(5)
Rb3MnI | PBE-GGA | optimized geometry

Total moment in μB/atom: 0.970
Excess energy over the best structure of this formula in the dataset in eV/atom: 0.0000
Raw formation energy in eV per atom: 0.099

abc: 7.039 7.039 7.039
angles: 90.00 90.00 90.00
Site moments in Bohr magnetons follow the coordinates.
Fractional positions:
Rb1 0.000 0.000 0.500  0.00
Rb2 0.000 0.500 0.000  0.00
Rb3 0.500 0.000 0.000  0.00
Mn1 0.500 0.500 0.500  4.38
I1 0.000 0.000 0.000  0.00



(6)
KZrTe | PBE-GGA | optimized geometry

Total moment in μB/atom: 0.688
Excess energy over the best structure of this formula in the dataset in eV/atom: 0.4238
Raw formation energy in eV per atom: -0.229

abc: 7.408 7.408 3.849
angles: 74.94 74.94 30.11
Site moments in Bohr magnetons follow the coordinates.
Fractional positions:
K1 0.996 0.996 0.004  0.04
Zr1 0.711 0.711 0.289  0.98
Te1 0.293 0.293 0.707  -0.02